(1)
DFT (PBE-GGA) results for ThAl2Zn10 after structural relaxation.

```
data_ThAl2Zn10
_chemical_formula_sum 'Th4 Al8 Zn40'
_symmetry_space_group_name_H-M 'C m c m'
_symmetry_Int_Tables_number 63
_symmetry_space_group_name_Hall '-C 2c 2'
_cell_length_a 8.920
_cell_length_b 10.533
_cell_length_c 9.151
_cell_angle_alpha 90.00
_cell_angle_beta 90.00
_cell_angle_gamma 90.00
loop_
_atom_site_label
_atom_site_fract_x
_atom_site_fract_y
_atom_site_fract_z
Th1 0.000 0.133 0.250
Al1 0.250 0.250 0.000
Zn1 0.000 0.151 0.606
Zn2 0.000 0.390 0.062
Zn3 0.144 0.373 0.750
Zn4 0.223 0.000 0.000
Zn5 0.234 0.381 0.250
```

The calculated formation energy is -0.137 eV/atom.

(2)
DFT (PBE-GGA) results for ThAl2Zn4 after structural relaxation.

```
data_ThAl2Zn4
_chemical_formula_sum 'Th2 Al4 Zn8'
_symmetry_space_group_name_H-M 'C 1 2/m 1'
_symmetry_Int_Tables_number 12
_symmetry_space_group_name_Hall '-C 2y'
_cell_length_a 8.278
_cell_length_b 7.690
_cell_length_c 5.090
_cell_angle_alpha 90.00
_cell_angle_beta 127.83
_cell_angle_gamma 90.00
loop_
_atom_site_label
_atom_site_fract_x
_atom_site_fract_y
_atom_site_fract_z
Th1 0.000 0.000 0.000
Al1 0.000 0.500 0.253
Zn1 0.198 0.188 0.698
```

The calculated formation energy is -0.132 eV/atom.